(1)
Below is LiPuCdRh after structural relaxation, with properties calculated at the PBE-GGA level.

Values from the calculation:
The calculation puts the final energy at -6.31 eV per atom. The calculation puts the formation energy from the elements at -0.181 eV per atom. The calculation puts the spin magnetization at 5.6 Bohr magnetons per cell.

Cell: 4.786 4.786 4.786 Å, 60.00 60.00 60.00°
Site moments in Bohr magnetons follow the coordinates.
Element x y z (fractional)
Rh1 0.500 0.500 0.500  -0.23
Pu1 0.250 0.250 0.250  5.29
Cd1 0.750 0.750 0.750  0.02
Li1 0.000 0.000 0.000  0.06

---

(2)
Below is CsHfZr2 after structural relaxation, with properties calculated at the PBE-GGA level.

Values from the calculation:
The calculation puts the final energy at -5.59 eV per atom. The calculation puts the formation energy from the elements at 1.390 eV per atom. The calculation puts the spin magnetization at 0.0 Bohr magnetons per cell. For the relative energy among the computed polymorphs, the calculation gives 192 meV/atom.

Cell: 4.527 4.527 11.182 Å, 78.32 78.32 90.00°
Element x y z (fractional)
Zr1 0.641 0.125 0.250
Zr2 0.875 0.891 0.750
Zr3 0.375 0.359 0.750
Zr4 0.109 0.625 0.250
Cs1 0.250 0.750 0.500
Cs2 0.500 0.500 0.000
Hf1 0.750 0.250 0.500
Hf2 0.000 0.000 0.000

---

(3)
Below is CuRePb2 after structural relaxation, with properties calculated at the PBE-GGA level.

Values from the calculation:
The calculation puts the final energy at -5.18 eV per atom. The calculation puts the formation energy from the elements at 0.808 eV per atom. The calculation puts the spin magnetization at 0.3 Bohr magnetons per cell. For the relative energy among the computed polymorphs, the calculation gives 214 meV/atom.

Cell: 8.925 8.925 8.925 Å, 21.26 21.26 21.26°
Site moments in Bohr magnetons follow the coordinates.
Element x y z (fractional)
Cu1 0.750 0.750 0.750  0.00
Pb1 0.000 0.000 0.000  0.00
Pb2 0.500 0.500 0.500  0.00
Re1 0.250 0.250 0.250  0.23